# GGA-PBE LiSc4Sb, relaxed
# **M_tot**: 0.004 Bohr magnetons per cell
# **E_form (uncorrected)**: 14.9 kJ/mol of atoms
data_LiSc4Sb
_chemical_formula_sum 'Li1 Sc4 Sb1'
_cell_length_a 5.9185
_cell_length_b 5.9185
_cell_length_c 5.9185
_cell_angle_alpha 60.00
_cell_angle_beta 60.00
_cell_angle_gamma 60.00
_symmetry_space_group_name_H-M 'P 1'
_symmetry_Int_Tables_number 1
loop_
_symmetry_equiv_pos_as_xyz
'x,y,z'
loop_
_atom_site_label
_atom_site_type_symbol
_atom_site_fract_x
_atom_site_fract_y
_atom_site_fract_z
_atom_site_occupancy
Li1 Li 0.7500 0.7500 0.7500 1
Sb1 Sb 0.0000 0.0000 0.0000 1
Sc1 Sc 0.3746 0.3746 0.8762 1
Sc2 Sc 0.8762 0.3746 0.3746 1
Sc3 Sc 0.3746 0.8762 0.3746 1
Sc4 Sc 0.3746 0.3746 0.3746 1